# Re3HBr

A relaxed Re3HBr crystal (PBE, Alexandria).

a = 4.050 Å, b = 4.050 Å, c = 4.050 Å
α = 90.00°, β = 90.00°, γ = 90.00°
Atoms (fractional coordinates):
Re 0.500 0.000 0.000
Re 0.000 0.000 0.500
Re 0.000 0.500 0.000
H 0.000 0.000 0.000
Br 0.500 0.500 0.500

Calculated values
SG ... Pm-3m, No. 221
Volume ... 13.287 Å³/atom
E ... -7.0622 eV/atom
Energy above the most stable polymorph in this dataset ... 0.0000 eV per atom

# BaSr

A relaxed BaSr crystal (PBE, Alexandria).

a = 4.345 Å, b = 7.149 Å, c = 7.548 Å
α = 90.00°, β = 90.00°, γ = 90.00°
Atoms (fractional coordinates):
Sr 0.500 0.000 0.499
Sr 0.000 0.500 0.335
Ba 0.000 0.000 0.002
Ba 0.500 0.500 0.832

Calculated values
SG ... Pmmn, No. 59
Volume ... 58.605 Å³/atom
Formation energy ... 10 meV/atom
E ... -1.7926 eV/atom
Energy above the most stable polymorph in this dataset ... 0.0099 eV per atom

E of number 1 (Re3HBr)?
-7.0622 eV/atom